[1]
## SbTe2 (PBE)

Data for a relaxed SbTe2 crystal.

The space group is I4_1/amd (No. 141, origin choice 2) and the conventional cell measures 3.964, 3.964 and 23.703 Å, with angles of 90.00, 90.00 and 90.00 degrees. The inequivalent atoms are Sb at (0.000, 0.250, 0.375) and Te at (0.000, 0.250, 0.803).

The raw formation energy comes out at 172 meV per atom. The total energy comes out at -9.89 eV/f.u. Its distance to the lowest polymorph of the same formula is 212 meV per atom.

=====

[2]
## SbTe5 (PBE)

Data for a relaxed SbTe5 crystal.

The space group is P-62m (No. 189) and the conventional cell measures 6.9996, 6.9996 and 4.3999 Å, with angles of 90.00, 90.00 and 120.00 degrees. The inequivalent atoms are Sb at (0.0000, 0.0000, 0.0000), Te at (0.0000, 0.6746, 0.5000) and Te at (0.3333, 0.6667, 0.0000).

The raw formation energy comes out at 166 meV per atom. The total energy comes out at -18.83 eV/f.u. Its distance to the lowest polymorph of the same formula is 159 meV per atom.

=====

[3]
## SbTe2 (PBE)

Data for a relaxed SbTe2 crystal.

The space group is Cm (No. 8) and the conventional cell measures 11.204, 4.279 and 10.643 Å, with angles of 90.00, 91.19 and 90.00 degrees. The inequivalent atoms are Sb at (0.000, 0.000, 0.000), Sb at (0.126, 0.500, 0.631), Te at (0.149, 0.000, 0.219), Te at (0.172, 0.500, 0.894), Te at (0.286, 0.000, 0.572) and Te at (0.397, 0.000, 0.183).

The raw formation energy comes out at 39 meV per atom. The total energy comes out at -10.29 eV/f.u. Its distance to the lowest polymorph of the same formula is 79 meV per atom.

=====

[4]
## Sb3Te (PBE)

Data for a relaxed Sb3Te crystal.

The space group is Pm-3n (No. 223) and the conventional cell measures 6.082, 6.082 and 6.082 Å, with angles of 90.00, 90.00 and 90.00 degrees. The inequivalent atoms are Sb at (0.000, 0.250, 0.500) and Te at (0.000, 0.000, 0.000).

The raw formation energy comes out at 401 meV per atom. The total energy comes out at -13.91 eV/f.u. Its distance to the lowest polymorph of the same formula is 387 meV per atom.

=====

[5]
## Sb4Te (PBE)

Data for a relaxed Sb4Te crystal.

The space group is I4/mmm (No. 139) and the conventional cell measures 4.370, 4.370 and 15.858 Å, with angles of 90.00, 90.00 and 90.00 degrees. The inequivalent atoms are Sb at (0.000, 0.000, 0.096), Sb at (0.000, 0.500, 0.250) and Te at (0.000, 0.000, 0.500).

The raw formation energy comes out at 226 meV per atom. The total energy comes out at -18.50 eV/f.u. Its distance to the lowest polymorph of the same formula is 92 meV per atom.

=====

[6]
## SbTe2 (PBE)

Data for a relaxed SbTe2 crystal.

The space group is P6/mmm (No. 191) and the conventional cell measures 5.7767, 5.7767 and 3.1694 Å, with angles of 90.00, 90.00 and 120.00 degrees. The inequivalent atoms are Sb at (0.0000, 0.0000, 0.0000) and Te at (0.3333, 0.6667, 0.0000).

The raw formation energy comes out at 171 meV per atom. The total energy comes out at -9.89 eV/f.u. Its distance to the lowest polymorph of the same formula is 212 meV per atom.

=====

[7]
## Sb5Te (PBE)

Data for a relaxed Sb5Te crystal.

The space group is Amm2 (No. 38) and the conventional cell measures 4.837, 4.100 and 18.234 Å, with angles of 90.00, 90.00 and 90.00 degrees. The inequivalent atoms are Sb at (0.000, 0.000, 0.000), Sb at (0.000, 0.000, 0.258), Sb at (0.000, 0.000, 0.627), Sb at (0.500, 0.000, 0.114), Sb at (0.500, 0.000, 0.807) and Te at (0.500, 0.000, 0.430).

The raw formation energy comes out at 197 meV per atom. The total energy comes out at -22.57 eV/f.u. Its distance to the lowest polymorph of the same formula is 0 meV per atom.

=====

[8]
## Sb3Te (PBE)

Data for a relaxed Sb3Te crystal.

The space group is Pm-3m (No. 221) and the conventional cell measures 4.806, 4.806 and 4.806 Å, with angles of 90.00, 90.00 and 90.00 degrees. The inequivalent atoms are Sb at (0.000, 0.000, 0.500) and Te at (0.500, 0.500, 0.500).

The raw formation energy comes out at 359 meV per atom. The total energy comes out at -14.07 eV/f.u. Its distance to the lowest polymorph of the same formula is 345 meV per atom.

=====

[9]
## SbTe2 (PBE)

Data for a relaxed SbTe2 crystal.

The space group is P4/mmm (No. 123) and the conventional cell measures 4.887, 4.887 and 4.194 Å, with angles of 90.00, 90.00 and 90.00 degrees. The inequivalent atoms are Sb at (0.000, 0.000, 0.000) and Te at (0.000, 0.500, 0.500).

The raw formation energy comes out at 186 meV per atom. The total energy comes out at -9.85 eV/f.u. Its distance to the lowest polymorph of the same formula is 227 meV per atom.

=====

[10]
## SbTe5 (PBE)

Data for a relaxed SbTe5 crystal.

The space group is P6/mmm (No. 191) and the conventional cell measures 6.1915, 6.1915 and 5.7677 Å, with angles of 90.00, 90.00 and 120.00 degrees. The inequivalent atoms are Sb at (0.0000, 0.0000, 0.0000), Te at (0.0000, 0.5000, 0.5000) and Te at (0.3333, 0.6667, 0.0000).

The raw formation energy comes out at 513 meV per atom. The total energy comes out at -16.75 eV/f.u. Its distance to the lowest polymorph of the same formula is 505 meV per atom.

=====

[11]
## SbTe2 (PBE)

Data for a relaxed SbTe2 crystal.

The space group is P6_3/mmc (No. 194) and the conventional cell measures 8.7238, 8.7238 and 7.6983 Å, with angles of 90.00, 90.00 and 120.00 degrees. The inequivalent atoms are Sb at (0.3333, 0.6667, 0.0545), Te at (0.0000, 0.0000, 0.0000) and Te at (0.1668, 0.3336, 0.2500).

The raw formation energy comes out at 173 meV per atom. The total energy comes out at -9.89 eV/f.u. Its distance to the lowest polymorph of the same formula is 214 meV per atom.

=====

[12]
## Sb3Te (PBE)

Data for a relaxed Sb3Te crystal.

The space group is P2/m (No. 10) and the conventional cell measures 3.293, 5.604 and 6.086 Å, with angles of 90.00, 98.94 and 90.00 degrees. The inequivalent atoms are Sb at (0.000, 0.000, 0.000), Sb at (0.173, 0.500, 0.751) and Te at (0.500, 0.000, 0.500).

The raw formation energy comes out at 238 meV per atom. The total energy comes out at -14.56 eV/f.u. Its distance to the lowest polymorph of the same formula is 224 meV per atom.